# 1
A geometry-optimized LiZrSe4 structure, computed with PBE.

It has space group F-43m (No. 216), with a = 8.095 Å, b = 8.095 Å, c = 8.095 Å, α = 90.00°, β = 90.00° and γ = 90.00°. The inequivalent atoms are Li at (0.000, 0.000, 0.000), Zr at (0.250, 0.250, 0.250) and Se at (0.125, 0.125, 0.625).

The calculation puts the volume at 22.11 Å³ per atom. The calculation puts the density of states at the Fermi level at 6.6 states/eV/f.u. The energy relative to the elements, uncorrected comes out at 0.269 eV/atom.

---

# 2
A geometry-optimized LiZr2Se structure, computed with PBE.

It has space group P4mm (No. 99), with a = 3.355 Å, b = 3.355 Å, c = 7.047 Å, α = 90.00°, β = 90.00° and γ = 90.00°. The inequivalent atoms are Li at (0.000, 0.000, 0.000), Zr at (0.000, 0.000, 0.415), Zr at (0.500, 0.500, 0.709) and Se at (0.500, 0.500, 0.164).

The calculation puts the volume at 19.83 Å³ per atom. The calculation puts the density of states at the Fermi level at 2.9 states/eV/f.u. The energy relative to the elements, uncorrected comes out at -0.484 eV/atom.

---

# 3
A geometry-optimized Li3Si structure, computed with PBE.

It has space group Immm (No. 71), with a = 3.388 Å, b = 4.311 Å, c = 7.987 Å, α = 90.00°, β = 90.00° and γ = 90.00°. The inequivalent atoms are Li at (0.000, 0.000, 0.000), Li at (0.000, 0.500, 0.254) and Si at (0.000, 0.000, 0.500).

The calculation puts the volume at 14.58 Å³ per atom. The calculation puts the density of states at the Fermi level at 0.5 states/eV/f.u. The energy relative to the elements, uncorrected comes out at -0.201 eV/atom.